Compound: Hg2MoW
Source: Alexandria
Functional: GGA-PBE
Structure: relaxed

E above lowest polymorph = 6.95 kcal/mol of atoms

Cell: 5.1184 5.1184 5.2416 Å, 98.19 98.19 32.39°
Closest atoms and distances in Å follow each position.
Atoms (fractional coordinates):
Hg  0.2502  0.2502  0.2502  6 Hg 2.86-2.99, 3 W 2.95-2.97, 3 Mo 2.95-2.97
Hg  0.7498  0.7498  0.7498  6 Hg 2.86-2.99, 3 W 2.95-2.97, 3 Mo 2.95-2.97
Mo  0.0000  0.0000  0.5000  2 Mo 2.86, 6 Hg 2.95-2.97, 4 W 2.98
W  0.5000  0.5000  0.0000  2 W 2.86, 6 Hg 2.95-2.97, 4 Mo 2.98

Compound: NaErPbAu
Source: Alexandria
Functional: GGA-PBE
Structure: relaxed

Cell: 5.1518 5.1518 5.1518 Å, 60.00 60.00 60.00°
Closest atoms and distances in Å follow each position.
Atoms (fractional coordinates):
Na  0.0000  0.0000  0.0000  4 Au 3.15, 4 Pb 3.15
Er  0.5000  0.5000  0.5000  4 Pb 3.15, 4 Au 3.15
Pb  0.2500  0.2500  0.2500  4 Na 3.15, 4 Er 3.15
Au  0.7500  0.7500  0.7500  4 Na 3.15, 4 Er 3.15

Compound: TiBe3Ir
Source: Alexandria
Functional: GGA-PBE
Structure: relaxed

E above lowest polymorph = 35.24 kcal/mol of atoms

Cell: 4.0525 4.0525 4.0525 Å, 90.00 90.00 90.00°
Closest atoms and distances in Å follow each position.
Atoms (fractional coordinates):
Ti  0.0000  0.0000  0.0000  6 Be 2.03
Be  0.0000  0.0000  0.5000  2 Ti 2.03
Be  0.0000  0.5000  0.0000  2 Ti 2.03
Be  0.5000  0.0000  0.0000  2 Ti 2.03
Ir  0.5000  0.5000  0.5000  12 Be 2.87

Compound: PmNd6Tl5
Source: Alexandria
Functional: GGA-PBE
Structure: relaxed

Cell: 9.3877 9.3877 9.3877 Å, 148.24 121.96 67.69°
Closest atoms and distances in Å follow each position.
Atoms (fractional coordinates):
Pm  0.0000  0.0000  0.0000  4 Tl 3.48, 8 Nd 3.56-3.59
Nd  0.0907  0.8285  0.2622  7 Tl 3.36-3.53, 4 Nd 3.55-3.71, 1 Pm 3.59
Nd  0.2703  0.5000  0.7703  6 Tl 3.31-3.44, 2 Pm 3.56, 4 Nd 3.71
Nd  0.4337  0.1715  0.2622  7 Tl 3.36-3.53, 4 Nd 3.55-3.71, 1 Pm 3.59
Nd  0.5663  0.8285  0.7378  7 Tl 3.36-3.53, 4 Nd 3.55-3.71, 1 Pm 3.59
Nd  0.7297  0.5000  0.2297  6 Tl 3.31-3.44, 2 Pm 3.56, 4 Nd 3.71
Nd  0.9093  0.1715  0.7378  7 Tl 3.36-3.53, 4 Nd 3.55-3.71, 1 Pm 3.59
Tl  0.1501  0.6501  0.5000  8 Nd 3.40-3.53, 2 Pm 3.48, 2 Tl 3.74
Tl  0.3245  0.3245  0.0000  8 Nd 3.36-3.44, 4 Tl 3.74-3.75
Tl  0.5000  0.0000  0.5000  8 Nd 3.31-3.44
Tl  0.6755  0.6755  0.0000  8 Nd 3.36-3.44, 4 Tl 3.74-3.75
Tl  0.8499  0.3499  0.5000  8 Nd 3.40-3.53, 2 Pm 3.48, 2 Tl 3.74

Number 1: uncorrected energy -5.35 eV per atom, formation energy from the elements 746 meV/atom. Number 2: uncorrected energy -3.63 eV per atom, formation energy from the elements -409 meV/atom. Number 3: uncorrected energy -3.90 eV per atom, formation energy from the elements 1691 meV/atom. Number 4: uncorrected energy -4.07 eV per atom, formation energy from the elements -304 meV/atom.